[1]
Nd2Ho2Mg3 | PBE-GGA | relaxed Values from VASP.

Cell and atoms, written as Quantum ESPRESSO input:
```
&SYSTEM
  ibrav = 0, nat = 7, ntyp = 3
/
ATOMIC_SPECIES
Nd 144.24 Nd.upf
Ho 164.93 Ho.upf
Mg 24.30 Mg.upf
ATOMIC_POSITIONS angstrom
Nd -0.633 6.029 4.128
Nd -4.596 0.092 0.278
Ho -4.361 3.570 1.505
Ho -0.867 2.551 2.901
Mg 0.000 0.000 0.000
Mg -1.983 2.172 -0.163
Mg -3.246 3.948 4.569
CELL_PARAMETERS angstrom
-0.092 2.657 -2.361
-6.477 -2.787 -0.207
1.340 6.250 6.975
```

D(E_F): 1.2247 states/eV per atom
formation enthalpy at 0 K: 17 kJ/mol of formula units

---

[2]
Nd12Ho6Mg | PBE-GGA | relaxed Values from VASP.

Cell and atoms, written as Quantum ESPRESSO input:
```
&SYSTEM
  ibrav = 0, nat = 19, ntyp = 3
/
ATOMIC_SPECIES
Nd 144.24 Nd.upf
Ho 164.93 Ho.upf
Mg 24.30 Mg.upf
ATOMIC_POSITIONS angstrom
Nd -5.504 2.119 -2.916
Nd -4.049 -2.946 -4.269
Nd -1.332 1.303 -6.310
Nd -2.660 -1.762 -7.207
Nd -4.116 3.303 -5.854
Nd -6.833 -0.946 -3.812
Nd -6.568 0.023 -0.278
Nd -7.373 -4.084 -5.341
Nd -7.355 4.465 -5.054
Nd -1.596 0.335 -9.844
Nd -0.792 4.442 -4.781
Nd -0.809 -4.107 -5.069
Ho -3.348 -0.672 -1.122
Ho -7.535 1.546 -6.789
Ho -6.577 -1.746 -7.679
Ho -4.817 1.029 -9.001
Ho -0.629 -1.188 -3.333
Ho -1.588 2.104 -2.444
Mg 0.000 0.000 0.000
CELL_PARAMETERS angstrom
-1.707 7.641 -3.926
1.827 -4.625 -7.210
-8.284 -2.658 1.014
```

D(E_F): 1.3552 states/eV per atom
formation enthalpy at 0 K: 241 kJ/mol of formula units

---

[3]
NdHoMg6 | PBE-GGA | relaxed Values from VASP.

Cell and atoms, written as Quantum ESPRESSO input:
```
&SYSTEM
  ibrav = 0, nat = 8, ntyp = 3
/
ATOMIC_SPECIES
Nd 144.24 Nd.upf
Ho 164.93 Ho.upf
Mg 24.30 Mg.upf
ATOMIC_POSITIONS angstrom
Nd 0.000 -2.343 5.425
Ho 2.605 0.949 3.379
Mg 0.000 -0.784 2.441
Mg 0.000 1.023 5.348
Mg 0.000 2.626 2.337
Mg 2.605 2.592 0.439
Mg 2.605 4.313 3.207
Mg 2.605 5.854 0.330
CELL_PARAMETERS angstrom
5.210 0.000 0.000
0.000 6.731 -0.214
0.000 -3.172 5.940
```

D(E_F): 1.0357 states/eV per atom
formation enthalpy at 0 K: -60 kJ/mol of formula units

---

[4]
NdHoMg14 | PBE-GGA | relaxed Values from VASP.

Cell and atoms, written as Quantum ESPRESSO input:
```
&SYSTEM
  ibrav = 0, nat = 16, ntyp = 3
/
ATOMIC_SPECIES
Nd 144.24 Nd.upf
Ho 164.93 Ho.upf
Mg 24.30 Mg.upf
ATOMIC_POSITIONS angstrom
Nd 6.089 6.063 4.017
Ho 2.610 2.599 4.017
Mg 6.089 6.063 0.000
Mg 2.610 2.598 0.000
Mg 6.082 2.591 4.017
Mg 6.082 2.591 0.000
Mg 2.617 6.071 4.017
Mg 2.617 6.071 0.000
Mg 4.325 0.876 1.911
Mg 4.325 0.876 6.124
Mg 0.895 4.321 1.911
Mg 0.895 4.321 6.124
Mg 4.332 4.314 1.911
Mg 4.332 4.314 6.124
Mg 0.887 0.883 1.911
Mg 0.887 0.883 6.124
CELL_PARAMETERS angstrom
6.944 -0.015 0.000
0.015 6.944 0.000
0.000 0.000 8.035
```

D(E_F): 0.4100 states/eV per atom
formation enthalpy at 0 K: -57 kJ/mol of formula units

---

[5]
NdHo6Mg | PBE-GGA | relaxed Values from VASP.

Cell and atoms, written as Quantum ESPRESSO input:
```
&SYSTEM
  ibrav = 0, nat = 8, ntyp = 3
/
ATOMIC_SPECIES
Nd 144.24 Nd.upf
Ho 164.93 Ho.upf
Mg 24.30 Mg.upf
ATOMIC_POSITIONS angstrom
Nd -2.440 1.855 5.521
Ho -3.409 1.432 9.126
Ho -5.767 0.887 6.438
Ho -0.621 -0.429 3.883
Ho -1.415 -1.018 7.404
Ho -3.773 -1.563 4.717
Ho -6.561 0.298 9.960
Mg 0.000 0.000 0.000
CELL_PARAMETERS angstrom
-2.303 -3.842 2.801
1.441 0.037 6.217
-6.320 3.674 4.825
```

D(E_F): 1.4616 states/eV per atom
formation enthalpy at 0 K: 30 kJ/mol of formula units

---

[6]
Nd2Ho2Mg | PBE-GGA | relaxed Values from VASP.

Cell and atoms, written as Quantum ESPRESSO input:
```
&SYSTEM
  ibrav = 0, nat = 10, ntyp = 3
/
ATOMIC_SPECIES
Nd 144.24 Nd.upf
Ho 164.93 Ho.upf
Mg 24.30 Mg.upf
ATOMIC_POSITIONS angstrom
Nd 2.808 5.509 5.877
Nd 0.716 2.748 6.993
Nd 2.250 1.706 0.887
Nd 4.341 4.467 -0.230
Ho 1.736 4.837 2.500
Ho 5.139 5.139 3.221
Ho 3.321 2.379 4.264
Ho -0.082 2.076 3.543
Mg 4.873 1.381 -1.603
Mg 0.184 5.834 8.367
CELL_PARAMETERS angstrom
5.963 0.000 -1.629
-0.277 5.522 -1.013
-0.629 1.693 9.406
```

D(E_F): 1.5881 states/eV per atom
formation enthalpy at 0 K: -1 kJ/mol of formula units

---

[7]
Nd5Ho2Mg5 | PBE-GGA | relaxed Values from VASP.

Cell and atoms, written as Quantum ESPRESSO input:
```
&SYSTEM
  ibrav = 0, nat = 12, ntyp = 3
/
ATOMIC_SPECIES
Nd 144.24 Nd.upf
Ho 164.93 Ho.upf
Mg 24.30 Mg.upf
ATOMIC_POSITIONS angstrom
Nd -3.772 5.167 -0.636
Nd -2.034 -1.582 2.139
Nd -2.801 1.762 0.414
Nd -3.757 5.455 6.465
Nd -4.524 8.798 4.740
Ho -3.331 7.917 1.526
Ho -3.227 -0.700 5.353
Mg -2.335 4.513 2.487
Mg -5.049 5.719 3.337
Mg -1.509 1.497 3.542
Mg -4.222 2.704 4.391
Mg 0.000 0.000 0.000
CELL_PARAMETERS angstrom
-3.374 -1.244 -0.912
0.987 -3.118 8.151
-4.170 11.578 -0.361
```

D(E_F): 1.0242 states/eV per atom
formation enthalpy at 0 K: -47 kJ/mol of formula units

---

[8]
Nd2Ho7Mg | PBE-GGA | relaxed Values from VASP.

Cell and atoms, written as Quantum ESPRESSO input:
```
&SYSTEM
  ibrav = 0, nat = 10, ntyp = 3
/
ATOMIC_SPECIES
Nd 144.24 Nd.upf
Ho 164.93 Ho.upf
Mg 24.30 Mg.upf
ATOMIC_POSITIONS angstrom
Nd 2.565 5.209 1.844
Nd 2.565 -0.705 5.481
Ho 0.000 6.655 0.955
Ho 0.000 -2.150 6.370
Ho 2.565 -0.688 2.226
Ho 2.565 5.193 5.099
Ho 2.565 2.297 0.390
Ho 2.565 2.208 6.935
Ho 2.565 2.252 3.663
Mg 0.000 0.000 0.000
CELL_PARAMETERS angstrom
5.130 0.000 0.000
0.000 9.502 -0.796
0.000 -4.997 8.121
```

D(E_F): 0.9270 states/eV per atom
formation enthalpy at 0 K: 643 kJ/mol of formula units